(1)
# Ba2AlAg, optimized geometry, DFT PBE
# E_form (meV/atom): 187
# Magnetization (μB/atom): 0.09
# V (Å³/cell): 639
data_Ba2AlAg
_space_group_name_H-M_alt 'I -4 2 d'
_space_group_IT_number 122
_space_group_name_Hall 'I -4 2bw'
_cell_length_a 9.1337
_cell_length_b 9.1337
_cell_length_c 7.6558
_cell_angle_alpha 90.00
_cell_angle_beta 90.00
_cell_angle_gamma 90.00
loop_
_atom_site_label
_atom_site_type_symbol
_atom_site_fract_x
_atom_site_fract_y
_atom_site_fract_z
Ba1 Ba 0.2327 0.2500 0.1250
Al1 Al 0.0000 0.0000 0.5000
Ag1 Ag 0.0000 0.0000 0.0000

---

(2)
# Zn2NiSb, optimized geometry, DFT PBE
# Formation energy from raw total energies (meV per atom): 112
# Magnetization (μB/atom): 0.00
# V (Å³/cell): 70
data_Zn2NiSb
_space_group_name_H-M_alt 'P 1 2/m 1'
_space_group_IT_number 10
_space_group_name_Hall '-P 2y'
_cell_length_a 3.4476
_cell_length_b 4.5273
_cell_length_c 4.4713
_cell_angle_alpha 90.00
_cell_angle_beta 94.46
_cell_angle_gamma 90.00
loop_
_atom_site_label
_atom_site_type_symbol
_atom_site_fract_x
_atom_site_fract_y
_atom_site_fract_z
Zn1 Zn 0.1942 0.0000 0.2784
Ni1 Ni 0.0000 0.5000 0.5000
Sb1 Sb 0.5000 0.5000 0.0000